# 1
First-principles (PBE) data for crystalline Nb2VSn at its relaxed geometry, as listed in Alexandria via LeMat-Bulk.

Cell lengths 3.935, 3.935, 20.142 Å; angles 90.00, 90.00, 90.00 degrees
Space group I-42d (No. 122)
One atom of each set of equivalent atoms:
1 Nb 0.246 0.250 0.125 (multiplicity 8)
2 V 0.000 0.000 0.000 (multiplicity 4)
3 Sn 0.000 0.000 0.500 (multiplicity 4)

## Properties
Volume, Å³ per cell: 312
DOS(E_F), states/eV/f.u.: 5.5
ΔE_f, eV/f.u.: 2.09
Theoretical density, Mg/m³: 7.6
Uncorrected energy, eV per atom: -7.79



# 2
First-principles (PBE) data for crystalline NaThBiPd at its relaxed geometry, as listed in Alexandria via LeMat-Bulk.

Cell lengths 7.456, 7.456, 7.456 Å; angles 90.00, 90.00, 90.00 degrees
Space group F-43m (No. 216)
One atom of each set of equivalent atoms:
1 Na 0.000 0.000 0.000 (multiplicity 4)
2 Th 0.000 0.000 0.500 (multiplicity 4)
3 Bi 0.250 0.250 0.250 (multiplicity 4)
4 Pd 0.250 0.250 0.750 (multiplicity 4)

## Properties
Volume, Å³ per cell: 414
DOS(E_F), states/eV/f.u.: 1.2
ΔE_f, eV/f.u.: -1.50
Theoretical density, Mg/m³: 9.1
Uncorrected energy, eV per atom: -4.83



# 3
First-principles (PBE) data for crystalline TlReMo2 at its relaxed geometry, as listed in Alexandria via LeMat-Bulk.

Cell lengths 3.222, 4.707, 9.217 Å; angles 90.00, 90.00, 90.00 degrees
Space group Cmmm (No. 65)
One atom of each set of equivalent atoms:
1 Tl 0.000 0.000 0.000 (multiplicity 2)
2 Re 0.000 0.000 0.500 (multiplicity 2)
3 Mo 0.000 0.500 0.273 (multiplicity 4)

## Properties
Volume, Å³ per cell: 140
DOS(E_F), states/eV/f.u.: 3.5
ΔE_f, eV/f.u.: 2.13
Theoretical density, Mg/m³: 13.8
Uncorrected energy, eV per atom: -8.59



# 4
First-principles (PBE) data for crystalline RbLaDy4Se8 at its relaxed geometry, as listed in Alexandria via LeMat-Bulk.

Cell lengths 8.6034, 8.6034, 21.8745 Å; angles 90.00, 90.00, 120.00 degrees
Space group R3m (No. 160, hexagonal axes)
One atom of each set of equivalent atoms:
1 Rb 0.0000 0.0000 0.0000 (multiplicity 3)
2 La 0.0000 0.0000 0.6358 (multiplicity 3)
3 Dy 0.0000 0.0000 0.2572 (multiplicity 3)
4 Dy 0.1724 0.3448 0.4629 (multiplicity 9)
5 Se 0.0000 0.0000 0.3880 (multiplicity 3)
6 Se 0.0000 0.0000 0.8614 (multiplicity 3)
7 Se 0.0400 0.5200 0.3915 (multiplicity 9)
8 Se 0.1732 0.3465 0.2096 (multiplicity 9)

## Properties
Volume, Å³ per cell: 1402
DOS(E_F), states/eV/f.u.: 0.0
Formation energy (no corrections), meV/atom: -1745
Theoretical density, Mg/m³: 5.4
Uncorrected energy, eV per atom: -5.47



# 5
First-principles (PBE) data for crystalline AcDy6Ho5 at its relaxed geometry, as listed in Alexandria via LeMat-Bulk.

Cell lengths 6.183, 10.700, 11.832 Å; angles 90.00, 99.98, 90.00 degrees
Space group C2/m (No. 12)
One atom of each set of equivalent atoms:
1 Ac 0.000 0.000 0.000 (multiplicity 2)
2 Dy 0.247 0.332 0.745 (multiplicity 8)
3 Dy 0.249 0.500 0.255 (multiplicity 4)
4 Ho 0.000 0.167 0.500 (multiplicity 4)
5 Ho 0.000 0.333 0.000 (multiplicity 4)
6 Ho 0.000 0.500 0.500 (multiplicity 2)

## Properties
Volume, Å³ per cell: 771
DOS(E_F), states/eV/f.u.: 15.5
ΔE_f, eV/f.u.: 0.39
Theoretical density, Mg/m³: 8.7
Uncorrected energy, eV per atom: -4.52



# 6
First-principles (PBE) data for crystalline Cr2GaTe4 at its relaxed geometry, as listed in Alexandria via LeMat-Bulk.

Cell lengths 11.588, 11.588, 11.588 Å; angles 90.00, 90.00, 90.00 degrees
Space group Fd-3m (No. 227, origin choice 2)
One atom of each set of equivalent atoms:
1 Cr 0.000 0.000 0.000 (multiplicity 16)
2 Ga 0.125 0.125 0.625 (multiplicity 8)
3 Te 0.013 0.013 0.237 (multiplicity 32)

## Properties
Volume, Å³ per cell: 1556
DOS(E_F), states/eV/f.u.: 1.8
Formation energy (no corrections), meV/atom: -233
Theoretical density, Mg/m³: 5.8
Uncorrected energy, eV per atom: -5.21